# 1
DFT (PBE) results for a relaxed structure of HoZnCd4.

Unit cell a=8.8154 b=8.8154 c=5.0954 alpha=106.77 beta=106.77 gamma=47.35
With the nearest neighbours (Å) after each atom.
Fractional positions:
Ho 0.2004 0.2004 0.2028  12 Cd 3.18-3.56
Ho 0.7996 0.7996 0.7972  12 Cd 3.18-3.56
Zn 0.4961 0.4961 0.7307  1 Zn 2.39, 2 Cd 2.61
Zn 0.5039 0.5039 0.2693  1 Zn 2.39, 2 Cd 2.61
Cd 0.1024 0.6435 0.3703  2 Zn 2.95-3.02, 5 Cd 3.21-3.30, 3 Ho 3.22-3.27
Cd 0.1844 0.8156 0.0000  1 Cd 2.61, 2 Zn 2.61
Cd 0.3261 0.3261 0.8306  2 Zn 2.95-3.03, 2 Ho 3.18-3.20, 4 Cd 3.24-3.30
Cd 0.3565 0.8976 0.6297  2 Zn 2.95-3.02, 5 Cd 3.21-3.30, 3 Ho 3.22-3.27
Cd 0.6435 0.1024 0.3703  2 Zn 2.95-3.02, 5 Cd 3.21-3.30, 3 Ho 3.22-3.27
Cd 0.6739 0.6739 0.1694  2 Zn 2.95-3.03, 2 Ho 3.18-3.20, 4 Cd 3.24-3.30
Cd 0.8156 0.1844 0.0000  1 Cd 2.61, 2 Zn 2.61
Cd 0.8976 0.3565 0.6297  2 Zn 2.95-3.02, 5 Cd 3.21-3.30, 3 Ho 3.22-3.27

Calculated values
- Formation energy: -0.49 eV per formula unit
- Space group: C2/m, No. 12
- Calculated total energy: -20.0 eV for the cell shown
- N(E_F): 0.55 states/eV/atom
- M_tot: 0.000 μB/atom

***

# 2
DFT (PBE) results for a relaxed structure of TbAg5Pd6.

Unit cell a=4.8412 b=6.0510 c=7.0938 alpha=90.00 beta=96.24 gamma=90.00
With the nearest neighbours (Å) after each atom.
Fractional positions:
Tb 0.0000 0.0000 0.0000  8 Pd 2.86-2.87, 4 Ag 3.03-3.06
Ag 0.0000 0.5000 0.0000  8 Pd 2.84, 2 Ag 3.01, 2 Tb 3.03
Ag 0.3402 0.5000 0.6694  8 Pd 2.81-2.86, 4 Ag 3.00-3.03
Ag 0.3447 0.0000 0.6633  8 Pd 2.85-2.88, 3 Ag 2.90-3.03, 1 Tb 3.06
Ag 0.6553 0.0000 0.3367  8 Pd 2.85-2.88, 3 Ag 2.90-3.03, 1 Tb 3.06
Ag 0.6598 0.5000 0.3306  8 Pd 2.81-2.86, 4 Ag 3.00-3.03
Pd 0.1591 0.2526 0.3350  7 Ag 2.84-2.88, 1 Tb 2.86, 4 Pd 2.94-3.06
Pd 0.1591 0.7474 0.3350  7 Ag 2.84-2.88, 1 Tb 2.86, 4 Pd 2.94-3.06
Pd 0.5000 0.2552 0.0000  6 Ag 2.81-2.87, 2 Tb 2.87, 4 Pd 2.96-3.09
Pd 0.5000 0.7448 0.0000  6 Ag 2.81-2.87, 2 Tb 2.87, 4 Pd 2.96-3.09
Pd 0.8409 0.2526 0.6650  7 Ag 2.84-2.88, 1 Tb 2.86, 4 Pd 2.94-3.06
Pd 0.8409 0.7474 0.6650  7 Ag 2.84-2.88, 1 Tb 2.86, 4 Pd 2.94-3.06

Calculated values
- Formation energy: -3.22 eV per formula unit
- Space group: P2/m, No. 10
- Calculated total energy: -53.3 eV for the cell shown
- N(E_F): 0.33 states/eV/atom
- M_tot: 0.000 μB/atom